[1]
Compound: PmInGe
Source: the Alexandria database
Functional: PBE
Structure: relaxed

Cell lengths 6.907, 6.907, 6.907 Å; angles 90.00, 90.00, 90.00 degrees
Space group F-43m (No. 216)
Asymmetric unit:
Pm: 0.000 0.000 0.000 x4
In: 0.000 0.000 0.500 x4
Ge: 0.250 0.250 0.250 x4

Results
Formation enthalpy at 0 K = -0.91 eV per formula unit


[2]
Compound: Pm7InGe3
Source: the Alexandria database
Functional: PBE
Structure: relaxed

Cell lengths 8.770, 10.855, 7.171 Å; angles 90.00, 105.17, 90.00 degrees
Space group C2/m (No. 12)
Asymmetric unit:
Pm: 0.000 0.000 0.000 x2
Pm: 0.158 0.500 0.187 x4
Pm: 0.181 0.290 0.712 x8
In: 0.000 0.000 0.500 x2
Ge: 0.000 0.271 0.000 x4
Ge: 0.000 0.500 0.500 x2

Results
Formation enthalpy at 0 K = -5.17 eV per formula unit


> Among the records above, which one has the highest formation enthalpy at 0 K?

PmInGe